Record 1
The following is a PBE calculation of a relaxed structure of RbIn4Ga2, from the Alexandria database.

energy = -2.628 eV/atom

a b c (Å): 4.864 16.283 4.954
angles (deg): 90.00 90.00 90.00
Fractional coordinates of all 14 atoms:
Rb (0.000, 0.000, 0.000)
Rb (0.500, 0.500, 0.000)
In (0.000, 0.182, 0.500)
In (0.000, 0.317, 0.000)
In (0.000, 0.683, 0.000)
In (0.000, 0.818, 0.500)
In (0.500, 0.183, 0.000)
In (0.500, 0.318, 0.500)
In (0.500, 0.682, 0.500)
In (0.500, 0.817, 0.000)
Ga (0.000, 0.415, 0.500)
Ga (0.000, 0.585, 0.500)
Ga (0.500, 0.085, 0.500)
Ga (0.500, 0.915, 0.500)


Record 2
The following is a PBE calculation of a relaxed structure of Sm5Al2Ge, from the Alexandria database.

energy = -4.867 eV/atom

a b c (Å): 8.964 8.964 8.964
angles (deg): 127.50 127.50 77.44
Fractional coordinates of all 16 atoms:
Sm (0.000, 0.000, 0.000)
Sm (0.021, 0.521, 0.845)
Sm (0.176, 0.021, 0.500)
Sm (0.324, 0.824, 0.845)
Sm (0.479, 0.324, 0.500)
Sm (0.500, 0.500, 0.000)
Sm (0.521, 0.676, 0.500)
Sm (0.676, 0.176, 0.155)
Sm (0.824, 0.979, 0.500)
Sm (0.979, 0.479, 0.155)
Al (0.119, 0.381, 0.500)
Al (0.381, 0.881, 0.263)
Al (0.619, 0.119, 0.737)
Al (0.881, 0.619, 0.500)
Ge (0.250, 0.250, 0.000)
Ge (0.750, 0.750, 0.000)


Record 3
The following is a PBE calculation of a relaxed structure of RbSrBiS3, from the Alexandria database.

energy = -4.193 eV/atom
energy relative to the elements, uncorrected = -1.04 eV per atom

a b c (Å): 8.758 8.758 8.865
angles (deg): 102.58 102.58 34.07
Fractional coordinates of all 12 atoms:
Rb (0.161, 0.161, 0.073)
Rb (0.839, 0.839, 0.927)
Sr (0.147, 0.147, 0.565)
Sr (0.853, 0.853, 0.435)
Bi (0.491, 0.491, 0.803)
Bi (0.509, 0.509, 0.197)
S (0.003, 0.003, 0.287)
S (0.335, 0.335, 0.638)
S (0.356, 0.356, 0.221)
S (0.644, 0.644, 0.779)
S (0.665, 0.665, 0.362)
S (0.997, 0.997, 0.713)


Record 4
The following is a PBE calculation of a relaxed structure of TlCuBr, from the Alexandria database.

energy = -2.834 eV/atom
energy relative to the elements, uncorrected = -0.12 eV per atom
E above lowest polymorph = 0 meV/atom

a b c (Å): 3.888 3.888 5.890
angles (deg): 90.00 90.00 120.00
Fractional coordinates of all 3 atoms:
Tl (0.000, 0.000, 0.000)
Cu (0.333, 0.667, 0.710)
Br (0.667, 0.333, 0.500)


Record 5
The following is a PBE calculation of a relaxed structure of UVC2, from the Alexandria database.

energy = -9.781 eV/atom

a b c (Å): 3.111 3.111 16.899
angles (deg): 90.00 90.00 120.00
Fractional coordinates of all 12 atoms:
U (0.000, 0.000, 0.000)
U (0.333, 0.667, 0.667)
U (0.667, 0.333, 0.333)
V (0.000, 0.000, 0.827)
V (0.333, 0.667, 0.494)
V (0.667, 0.333, 0.161)
C (0.000, 0.000, 0.235)
C (0.000, 0.000, 0.427)
C (0.333, 0.667, 0.094)
C (0.333, 0.667, 0.901)
C (0.667, 0.333, 0.568)
C (0.667, 0.333, 0.760)


Record 6
The following is a PBE calculation of a relaxed structure of Sm12AlNi5, from the Alexandria database.

energy = -5.214 eV/atom

a b c (Å): 8.481 8.481 8.481
angles (deg): 111.90 109.64 106.92
Fractional coordinates of all 18 atoms:
Sm (0.024, 0.212, 0.812)
Sm (0.182, 0.298, 0.480)
Sm (0.182, 0.702, 0.884)
Sm (0.324, 0.019, 0.695)
Sm (0.324, 0.629, 0.305)
Sm (0.400, 0.212, 0.188)
Sm (0.600, 0.788, 0.812)
Sm (0.676, 0.371, 0.695)
Sm (0.676, 0.981, 0.305)
Sm (0.818, 0.298, 0.116)
Sm (0.818, 0.702, 0.520)
Sm (0.976, 0.788, 0.188)
Al (0.500, 0.500, 0.000)
Ni (0.000, 0.000, 0.000)
Ni (0.124, 0.624, 0.500)
Ni (0.366, 0.000, 0.366)
Ni (0.634, 0.000, 0.634)
Ni (0.876, 0.376, 0.500)


Record 7
The following is a PBE calculation of a relaxed structure of PtSe2Cl, from the Alexandria database.

energy = -3.366 eV/atom
energy relative to the elements, uncorrected = 0.35 eV per atom
E above lowest polymorph = 693 meV/atom

a b c (Å): 3.082 3.082 9.338
angles (deg): 90.00 90.00 90.00
Fractional coordinates of all 4 atoms:
Pt (0.000, 0.000, 0.000)
Se (0.000, 0.000, 0.424)
Se (0.500, 0.500, 0.153)
Cl (0.500, 0.500, 0.803)


Record 8
The following is a PBE calculation of a relaxed structure of K4YPt, from the Alexandria database.

energy = -2.058 eV/atom

a b c (Å): 6.941 6.941 6.941
angles (deg): 60.00 60.00 60.00
Fractional coordinates of all 6 atoms:
K (0.122, 0.122, 0.122)
K (0.122, 0.122, 0.633)
K (0.122, 0.633, 0.122)
K (0.633, 0.122, 0.122)
Y (0.500, 0.500, 0.500)
Pt (0.750, 0.750, 0.750)


Record 9
The following is a PBE calculation of a relaxed structure of InCuAuS2, from the Alexandria database.

energy = -2.866 eV/atom
energy relative to the elements, uncorrected = 0.81 eV per atom

a b c (Å): 4.998 4.998 5.283
angles (deg): 90.00 90.00 90.00
Fractional coordinates of all 5 atoms:
In (0.000, 0.000, 0.000)
Cu (0.500, 0.500, 0.500)
Au (0.000, 0.000, 0.500)
S (0.000, 0.500, 0.000)
S (0.500, 0.000, 0.000)